The following is a DFT calculation (PBE-GGA) of a geometry-optimized ZnFe2Rh4 structure.

Output
SG: I4/mmm, No. 139
density: 9.53 g/cm³
E_form: 0.11 eV per atom
final energy: -46.83 eV per formula unit

Structure (POSCAR):
```
ZnFe2Rh4
1.0
-2.9498 2.9498 2.9466
2.9498 -2.9498 2.9466
2.9498 2.9498 -2.9466
Zn Fe Rh
1 2 4
direct
0.0000 0.0000 0.0000 Zn
0.0000 0.5000 0.5000 Fe
0.5000 0.0000 0.5000 Fe
0.0000 0.0000 0.5000 Rh
0.0000 0.5000 0.0000 Rh
0.5000 0.0000 0.0000 Rh
0.5000 0.5000 0.5000 Rh
```


The following is a DFT calculation (PBE-GGA) of a geometry-optimized ZnFeRh2 structure.

Output
SG: P2/m, No. 10
density: 9.76 g/cm³
E_form: -0.05 eV per atom
final energy: -24.65 eV per formula unit

Structure (POSCAR):
```
ZnFeRh2
1.0
2.6887 0.0000 0.0000
0.0000 4.2132 0.0000
-0.4256 0.0000 4.9123
Zn Fe Rh
1 1 2
direct
0.0000 0.0000 0.0000 Zn
0.5000 0.0000 0.5000 Fe
0.2631 0.5000 0.7474 Rh
0.7369 0.5000 0.2526 Rh
```